[1]
Here is LaScS2N after structural relaxation from the Alexandria database. Energies are from GGA-PBE.

a = 5.458 Å, b = 5.458 Å, c = 4.129 Å
α = 90.00°, β = 90.00°, γ = 90.00°
Sites, in units of the cell vectors:
1 N 0.000 0.000 0.500
2 S 0.000 0.500 0.000
3 Sc 0.500 0.500 0.500
4 La 0.000 0.000 0.000
5 S 0.500 0.000 0.000

Output
total magnetization: 0.22 Bohr magnetons per cell
offset from the most stable computed form: 999 meV per atom
crystal system: tetragonal

[2]
Here is AgW2 after structural relaxation from the Alexandria database. Energies are from GGA-PBE.

a = 14.301 Å, b = 14.301 Å, c = 14.301 Å
α = 169.24°, β = 169.24°, γ = 15.24°
Sites, in units of the cell vectors:
1 W 0.419 0.419 0.000
2 Ag 0.750 0.250 0.500
3 Ag 0.000 0.000 0.000
4 W 0.169 0.669 0.500
5 W 0.331 0.831 0.500
6 W 0.581 0.581 0.000

Output
total magnetization: 0.00 Bohr magnetons per cell
offset from the most stable computed form: 265 meV per atom
crystal system: tetragonal
formation energy: 0.767 eV/atom

[3]
Here is YNbGe2 after structural relaxation from the Alexandria database. Energies are from GGA-PBE.

a = 3.877 Å, b = 3.877 Å, c = 6.878 Å
α = 73.63°, β = 73.63°, γ = 60.00°
Sites, in units of the cell vectors:
1 Nb 0.000 0.000 0.000
2 Ge 0.741 0.741 0.778
3 Y 0.500 0.500 0.500
4 Ge 0.259 0.259 0.222

Output
total magnetization: 0.00 Bohr magnetons per cell
offset from the most stable computed form: 0 meV per atom
crystal system: trigonal
formation energy: -0.513 eV/atom

[4]
Here is LiTlTeS3 after structural relaxation from the Alexandria database. Energies are from GGA-PBE.

a = 3.916 Å, b = 7.177 Å, c = 10.571 Å
α = 90.00°, β = 90.00°, γ = 105.83°
Sites, in units of the cell vectors:
1 S 0.957 0.914 0.250
2 Li 0.439 0.878 0.750
3 S 0.629 0.259 0.461
4 Tl 0.721 0.441 0.750
5 S 0.043 0.086 0.750
6 Te 0.000 0.000 0.000
7 Te 0.000 0.000 0.500
8 Tl 0.279 0.559 0.250
9 S 0.371 0.741 0.961
10 S 0.371 0.741 0.539
11 Li 0.561 0.122 0.250
12 S 0.629 0.259 0.039

Output
total magnetization: 0.00 Bohr magnetons per cell
final energy: -44.352 eV for the cell shown
crystal system: orthorhombic